[1]
A geometry-optimized AcNd8Tm3 structure. Source: the Alexandria database, functional GGA-PBE.

Lattice parameters (Å, degrees): 8.891 8.891 8.891 135.93 98.65 97.54
Element x y z (fractional)
Ac: 0.000 0.000 0.000
Nd: 0.083 0.256 0.827
Nd: 0.281 0.227 0.507
Nd: 0.281 0.773 0.054
Nd: 0.429 0.256 0.173
Nd: 0.571 0.744 0.827
Nd: 0.719 0.227 0.946
Nd: 0.719 0.773 0.493
Nd: 0.917 0.744 0.173
Tm: 0.287 0.787 0.500
Tm: 0.500 0.500 0.000
Tm: 0.713 0.213 0.500

Values from the calculation:
Calculated total energy   -4.292 eV per atom
SG   Immm (71)
Total magnetic moment   0.00 μB/f.u.

[2]
A geometry-optimized Li2NdSn structure. Source: the Alexandria database, functional GGA-PBE.

Lattice parameters (Å, degrees): 4.510 4.510 4.919 90.00 90.00 90.00
Element x y z (fractional)
Li: 0.000 0.500 0.000
Li: 0.500 0.000 0.000
Nd: 0.000 0.000 0.500
Sn: 0.500 0.500 0.500

Values from the calculation:
Calculated total energy   -3.473 eV per atom
SG   P4/mmm (123)
Total magnetic moment   0.00 μB/f.u.

[3]
A geometry-optimized TaTi2Al5Rh2 structure. Source: the Alexandria database, functional GGA-PBE.

Lattice parameters (Å, degrees): 8.817 8.817 4.079 90.00 90.00 90.00
Element x y z (fractional)
Ta: 0.000 0.000 0.000
Ta: 0.500 0.500 0.000
Ti: 0.175 0.325 0.000
Ti: 0.325 0.825 0.000
Ti: 0.675 0.175 0.000
Ti: 0.825 0.675 0.000
Al: 0.000 0.500 0.500
Al: 0.070 0.794 0.500
Al: 0.206 0.070 0.500
Al: 0.294 0.570 0.500
Al: 0.430 0.294 0.500
Al: 0.500 0.000 0.500
Al: 0.570 0.706 0.500
Al: 0.706 0.430 0.500
Al: 0.794 0.930 0.500
Al: 0.930 0.206 0.500
Rh: 0.124 0.624 0.000
Rh: 0.376 0.124 0.000
Rh: 0.624 0.876 0.000
Rh: 0.876 0.376 0.000

Values from the calculation:
Calculated total energy   -6.693 eV per atom
SG   P4/mbm (127)
Total magnetic moment   0.00 μB/f.u.

[4]
A geometry-optimized YTi3Al structure. Source: the Alexandria database, functional GGA-PBE.

Lattice parameters (Å, degrees): 4.802 4.802 4.802 90.00 90.00 90.00
Element x y z (fractional)
Y: 0.000 0.000 0.000
Ti: 0.000 0.000 0.500
Ti: 0.000 0.500 0.000
Ti: 0.500 0.000 0.000
Al: 0.500 0.500 0.500

Values from the calculation:
Calculated total energy   -5.334 eV per atom
SG   Pm-3m (221)
Total magnetic moment   1.53 μB/f.u.

[5]
A geometry-optimized Te2OsRh structure. Source: the Alexandria database, functional GGA-PBE.

Lattice parameters (Å, degrees): 8.228 8.228 8.228 23.29 23.29 23.29
Element x y z (fractional)
Te: 0.250 0.250 0.250
Te: 0.750 0.750 0.750
Os: 0.500 0.500 0.500
Rh: 0.000 0.000 0.000

Values from the calculation:
SG   R-3m (166)
Total magnetic moment   0.00 μB/f.u.
E_form (uncorrected)   417.7 meV/atom

[6]
A geometry-optimized AcLuTlCu structure. Source: the Alexandria database, functional GGA-PBE.

Lattice parameters (Å, degrees): 5.402 5.402 5.402 60.00 60.00 60.00
Element x y z (fractional)
Ac: 0.000 0.000 0.000
Lu: 0.500 0.500 0.500
Tl: 0.750 0.750 0.750
Cu: 0.250 0.250 0.250

Values from the calculation:
Calculated total energy   -3.920 eV per atom
SG   F-43m (216)
Total magnetic moment   0.00 μB/f.u.

[7]
A geometry-optimized Zn4C structure. Source: the Alexandria database, functional GGA-PBE.

Lattice parameters (Å, degrees): 4.578 4.578 4.578 109.47 109.47 109.47
Element x y z (fractional)
Zn: 0.000 0.000 0.500
Zn: 0.000 0.500 0.000
Zn: 0.500 0.000 0.000
Zn: 0.500 0.500 0.500
C: 0.000 0.000 0.000

Values from the calculation:
Calculated total energy   -2.077 eV per atom
SG   Im-3m (229)
Total magnetic moment   0.00 μB/f.u.

[8]
A geometry-optimized CrAs2Se structure. Source: the Alexandria database, functional GGA-PBE.

Lattice parameters (Å, degrees): 7.465 7.465 7.465 152.13 143.08 46.89
Element x y z (fractional)
Cr: 0.000 0.000 0.000
As: 0.333 0.333 0.000
As: 0.452 0.952 0.500
Se: 0.111 0.611 0.500

Values from the calculation:
SG   Imm2 (44)
Total magnetic moment   2.61 μB/f.u.
E_form (uncorrected)   138.2 meV/atom

[9]
A geometry-optimized Co2IrRhSe8 structure. Source: the Alexandria database, functional GGA-PBE.

Lattice parameters (Å, degrees): 4.995 7.498 5.933 90.00 90.10 90.00
Element x y z (fractional)
Co: 0.000 0.249 0.000
Co: 0.000 0.751 0.000
Ir: 0.500 0.000 0.500
Rh: 0.500 0.500 0.500
Se: 0.209 0.249 0.362
Se: 0.209 0.751 0.362
Se: 0.274 0.000 0.879
Se: 0.274 0.500 0.880
Se: 0.726 0.000 0.121
Se: 0.726 0.500 0.120
Se: 0.791 0.249 0.638
Se: 0.791 0.751 0.638

Values from the calculation:
SG   P2/m (10)
Total magnetic moment   0.01 μB/f.u.
E_form (uncorrected)   -310.6 meV/atom

[10]
A geometry-optimized Hf6BiMo structure. Source: the Alexandria database, functional GGA-PBE.

Lattice parameters (Å, degrees): 5.607 5.607 5.607 92.85 92.85 92.85
Element x y z (fractional)
Hf: 0.014 0.761 0.552
Hf: 0.239 0.448 0.986
Hf: 0.448 0.986 0.239
Hf: 0.552 0.014 0.761
Hf: 0.761 0.552 0.014
Hf: 0.986 0.239 0.448
Bi: 0.500 0.500 0.500
Mo: 0.000 0.000 0.000

Values from the calculation:
Calculated total energy   -9.285 eV per atom
SG   R-3 (148)
Total magnetic moment   0.00 μB/f.u.

[11]
A geometry-optimized CsCdP2O structure. Source: the Alexandria database, functional GGA-PBE.

Lattice parameters (Å, degrees): 5.221 5.221 4.642 90.00 90.00 90.00
Element x y z (fractional)
Cs: 0.000 0.000 0.000
Cd: 0.500 0.500 0.500
P: 0.000 0.500 0.500
P: 0.500 0.000 0.500
O: 0.500 0.500 0.000

Values from the calculation:
SG   P4/mmm (123)
Total magnetic moment   2.30 μB/f.u.
E_form (uncorrected)   525.0 meV/atom

[12]
A geometry-optimized CePr2Pb2 structure. Source: the Alexandria database, functional GGA-PBE.

Lattice parameters (Å, degrees): 5.298 5.298 13.061 90.00 90.00 120.00
Element x y z (fractional)
Ce: 0.000 0.000 0.250
Ce: 0.000 0.000 0.750
Pr: 0.000 0.000 0.000
Pr: 0.000 0.000 0.500
Pr: 0.333 0.667 0.250
Pr: 0.667 0.333 0.750
Pb: 0.333 0.667 0.623
Pb: 0.333 0.667 0.877
Pb: 0.667 0.333 0.123
Pb: 0.667 0.333 0.377

Values from the calculation:
Calculated total energy   -4.781 eV per atom
SG   P6_3/mmc (194)
Total magnetic moment   0.17 μB/f.u.

Among the records above, which one has the highest total magnetic moment?
CrAs2Se